[1]
Computed, not measured: crystalline DyAuSO at its relaxed geometry at the PBE level of DFT.

**SG**: No. 54

Cell: 5.587 9.089 5.605 Å, 90.00 90.00 90.00°
Fractional positions:
Dy1 0.000 0.121 0.250
Dy2 0.000 0.879 0.750
Dy3 0.500 0.121 0.750
Dy4 0.500 0.879 0.250
Au1 0.250 0.500 0.240
Au2 0.250 0.500 0.740
Au3 0.750 0.500 0.260
Au4 0.750 0.500 0.760
S1 0.000 0.282 0.750
S2 0.000 0.718 0.250
S3 0.500 0.282 0.250
S4 0.500 0.718 0.750
O1 0.250 0.000 0.001
O2 0.250 0.000 0.501
O3 0.750 0.000 0.499
O4 0.750 0.000 0.999


[2]
Computed, not measured: crystalline SrCd2GeAu at its relaxed geometry at the PBE level of DFT.

**SG**: No. 107

Cell: 6.797 6.797 6.797 Å, 141.27 141.27 55.93°
Fractional positions:
Sr1 0.000 0.000 0.000
Cd1 0.245 0.745 0.500
Cd2 0.745 0.245 0.500
Ge1 0.607 0.607 0.000
Au1 0.394 0.394 0.000


[3]
Computed, not measured: crystalline AgSn2Os at its relaxed geometry at the PBE level of DFT.

**SG**: No. 216

Cell: 4.826 4.826 4.826 Å, 60.00 60.00 60.00°
Fractional positions:
Ag1 0.000 0.000 0.000
Sn1 0.250 0.250 0.250
Sn2 0.500 0.500 0.500
Os1 0.750 0.750 0.750


[4]
Computed, not measured: crystalline Nd2DyMg3Al2Cd at its relaxed geometry at the PBE level of DFT.

**SG**: No. 38

Cell: 4.633 7.506 7.506 Å, 119.26 90.00 90.00°
Fractional positions:
Nd1 0.000 0.213 0.787
Nd2 0.000 0.787 0.213
Dy1 0.000 0.359 0.359
Mg1 0.500 0.029 0.029
Mg2 0.500 0.539 0.784
Mg3 0.500 0.784 0.539
Al1 0.500 0.124 0.451
Al2 0.500 0.451 0.124
Cd1 0.000 0.778 0.778


[5]
Computed, not measured: crystalline Zr3Fe4Bi4 at its relaxed geometry at the PBE level of DFT.

**SG**: No. 121

Cell: 7.678 7.678 7.678 Å, 131.57 131.57 70.92°
Fractional positions:
Zr1 0.000 0.000 0.000
Zr2 0.250 0.750 0.500
Zr3 0.750 0.250 0.500
Fe1 0.129 0.626 0.000
Fe2 0.374 0.374 0.503
Fe3 0.626 0.129 0.000
Fe4 0.871 0.871 0.497
Bi1 0.000 0.500 0.500
Bi2 0.254 0.254 0.000
Bi3 0.500 0.000 0.500
Bi4 0.746 0.746 0.000


[6]
Computed, not measured: crystalline Li2Sc2NiSn2Ir at its relaxed geometry at the PBE level of DFT.

**SG**: No. 115

Cell: 4.523 4.523 6.415 Å, 90.00 90.00 90.00°
Fractional positions:
Li1 0.000 0.000 0.000
Li2 0.500 0.500 0.500
Sc1 0.000 0.500 0.748
Sc2 0.500 0.000 0.252
Ni1 0.000 0.000 0.500
Sn1 0.000 0.500 0.257
Sn2 0.500 0.000 0.743
Ir1 0.500 0.500 0.000


[7]
Computed, not measured: crystalline Na3NbO4 at its relaxed geometry at the PBE level of DFT.

**SG**: No. 13

Cell: 5.737 6.569 5.446 Å, 90.00 109.54 90.00°
Fractional positions:
Na1 0.000 0.113 0.250
Na2 0.000 0.379 0.750
Na3 0.000 0.621 0.250
Na4 0.000 0.887 0.750
Na5 0.500 0.123 0.750
Na6 0.500 0.877 0.250
Nb1 0.500 0.355 0.250
Nb2 0.500 0.645 0.750
O1 0.273 0.161 0.037
O2 0.273 0.839 0.537
O3 0.298 0.397 0.490
O4 0.298 0.603 0.990
O5 0.702 0.397 0.010
O6 0.702 0.603 0.510
O7 0.727 0.161 0.463
O8 0.727 0.839 0.963


[8]
Computed, not measured: crystalline UCuAs at its relaxed geometry at the PBE level of DFT.

**SG**: No. 216

Cell: 4.502 4.502 4.502 Å, 60.00 60.00 60.00°
Fractional positions:
U1 0.000 0.000 0.000
Cu1 0.500 0.500 0.500
As1 0.750 0.750 0.750


no.,E_tot (eV per atom),density (g/cm3),V (Å³ per atom)
1,-6.169,9.51,17.79
2,-2.729,7.92,24.40
3,-4.791,11.19,19.87
4,-3.335,5.03,25.30
5,-6.755,8.92,22.55
6,-5.526,7.49,16.41
7,-6.385,3.88,12.09
8,-6.428,9.69,21.50